# 1
Entry from the Alexandria database: NbSb3Pd after structural relaxation (PBE).

Structure (POSCAR):
```
NbSb3Pd
1.0
5.1547 0.0000 0.0000
0.0000 5.1547 0.0000
0.0000 0.0000 5.1547
Nb Sb Pd
1 3 1
direct
0.0000 0.0000 0.0000
0.0000 0.5000 0.5000
0.5000 0.0000 0.5000
0.5000 0.5000 0.0000
0.5000 0.5000 0.5000
```

Computed properties:
Offset from the most stable computed form: 0.199 eV per atom

# 2
Entry from the Alexandria database: Nb2SbPd9 after structural relaxation (PBE).

Structure (POSCAR):
```
Nb2SbPd9
1.0
3.9930 0.0000 0.0000
0.0000 3.9930 0.0000
0.0000 0.0000 12.1426
Nb Sb Pd
2 1 9
direct
0.0000 0.0000 0.1688
0.0000 0.0000 0.8312
0.0000 0.0000 0.5000
0.0000 0.5000 0.0000
0.0000 0.5000 0.3206
0.0000 0.5000 0.6794
0.5000 0.0000 0.0000
0.5000 0.0000 0.3206
0.5000 0.0000 0.6794
0.5000 0.5000 0.1595
0.5000 0.5000 0.5000
0.5000 0.5000 0.8405
```

# 3
Entry from the Alexandria database: NbSbPd after structural relaxation (PBE).

Structure (POSCAR):
```
NbSbPd
1.0
-1.8364 1.8364 4.2219
1.8364 -1.8364 4.2219
1.8364 1.8364 -4.2219
Nb Sb Pd
1 1 1
direct
0.0000 0.0000 0.0000
0.6644 0.6644 0.0000
0.3352 0.3352 0.0000
```

ΔE_f (raw) (eV/atom)
0.765; -0.365; -0.084
Spin magnetization (μB/f.u.)
2.5; 0.0; 0.0